# ThZn4Ir, optimized geometry, DFT PBE
data_ThZn4Ir
_chemical_formula_sum 'Th4 Zn16 Ir4'
_space_group_name_H-M_alt 'F -4 3 m'
_space_group_IT_number 216
_space_group_name_Hall 'F -4 2 3'
_cell_length_a 7.4586
_cell_length_b 7.4586
_cell_length_c 7.4586
_cell_angle_alpha 90.00
_cell_angle_beta 90.00
_cell_angle_gamma 90.00
loop_
_atom_site_label
_atom_site_fract_x
_atom_site_fract_y
_atom_site_fract_z
Th1 0.0000 0.0000 0.0000
Zn1 0.1231 0.1231 0.3769
Ir1 0.2500 0.2500 0.7500
# formation enthalpy at 0 K: -0.180 eV per atom
# D(E_F): 25.28 states/eV/cell

# ThZn6Ir4, optimized geometry, DFT PBE
data_ThZn6Ir4
_chemical_formula_sum 'Th2 Zn12 Ir8'
_space_group_name_H-M_alt 'I -4 2 m'
_space_group_IT_number 121
_space_group_name_Hall 'I -4 2'
_cell_length_a 6.5747
_cell_length_b 6.5747
_cell_length_c 9.5012
_cell_angle_alpha 90.00
_cell_angle_beta 90.00
_cell_angle_gamma 90.00
loop_
_atom_site_label
_atom_site_fract_x
_atom_site_fract_y
_atom_site_fract_z
Th1 0.0000 0.0000 0.0000
Zn1 0.0000 0.5000 0.0000
Zn2 0.1850 0.1850 0.2967
Ir1 0.1803 0.1803 0.5723
# formation enthalpy at 0 K: -0.122 eV per atom
# D(E_F): 13.99 states/eV/cell

# Th2Zn16Ir, optimized geometry, DFT PBE
data_Th2Zn16Ir
_chemical_formula_sum 'Th6 Zn48 Ir3'
_space_group_name_H-M_alt 'R 3 m'
_space_group_IT_number 160
_space_group_name_Hall 'R 3 -2"'
_cell_length_a 9.0531
_cell_length_b 9.0531
_cell_length_c 13.2266
_cell_angle_alpha 90.00
_cell_angle_beta 90.00
_cell_angle_gamma 120.00
loop_
_atom_site_label
_atom_site_fract_x
_atom_site_fract_y
_atom_site_fract_z
Th1 0.0000 0.0000 0.0000
Th2 0.0000 0.0000 0.3298
Zn1 0.0000 0.0000 0.5715
Zn2 0.0000 0.2847 0.6725
Zn3 0.0091 0.5045 0.8211
Zn4 0.1679 0.3358 0.5047
Zn5 0.1688 0.3376 0.8502
Ir1 0.0000 0.0000 0.7782
# formation enthalpy at 0 K: -0.252 eV per atom
# D(E_F): 16.00 states/eV/cell

# Th2Zn5Ir5, optimized geometry, DFT PBE
data_Th2Zn5Ir5
_chemical_formula_sum 'Th2 Zn5 Ir5'
_space_group_name_H-M_alt 'P m m m'
_space_group_IT_number 47
_cell_length_a 4.3920
_cell_length_b 5.3003
_cell_length_c 9.1162
_cell_angle_alpha 90.00
_cell_angle_beta 90.00
_cell_angle_gamma 90.00
loop_
_space_group_symop_operation_xyz
'x,y,z'
'-x,-y,-z'
'-x,-y,z'
'x,y,-z'
'x,-y,-z'
'-x,y,z'
'-x,y,-z'
'x,-y,z'
loop_
_atom_site_label
_atom_site_fract_x
_atom_site_fract_y
_atom_site_fract_z
Th1 0.0000 0.0000 0.0000
Th2 0.0000 0.5000 0.5000
Zn1 0.5000 0.0000 0.5000
Zn2 0.5000 0.2514 0.2512
Ir1 0.0000 0.0000 0.3309
Ir2 0.0000 0.5000 0.1639
Ir3 0.5000 0.5000 0.0000
# formation enthalpy at 0 K: -0.456 eV per atom
# D(E_F): 7.66 states/eV/cell

# ThZn5Ir2, optimized geometry, DFT PBE
data_ThZn5Ir2
_chemical_formula_sum 'Th2 Zn10 Ir4'
_space_group_name_H-M_alt 'I m m m'
_space_group_IT_number 71
_space_group_name_Hall '-I 2 2'
_cell_length_a 3.9120
_cell_length_b 7.8472
_cell_length_c 9.3142
_cell_angle_alpha 90.00
_cell_angle_beta 90.00
_cell_angle_gamma 90.00
loop_
_atom_site_label
_atom_site_fract_x
_atom_site_fract_y
_atom_site_fract_z
Th1 0.0000 0.0000 0.0000
Zn1 0.0000 0.1828 0.3463
Zn2 0.0000 0.5000 0.0000
Ir1 0.0000 0.5000 0.2750
# formation enthalpy at 0 K: -0.372 eV per atom
# D(E_F): 8.45 states/eV/cell

# ThZn4Ir2, optimized geometry, DFT PBE
data_ThZn4Ir2
_chemical_formula_sum 'Th2 Zn8 Ir4'
_space_group_name_H-M_alt 'P 42/m n m'
_space_group_IT_number 136
_space_group_name_Hall '-P 4n 2n'
_cell_length_a 7.9278
_cell_length_b 7.9278
_cell_length_c 3.9263
_cell_angle_alpha 90.00
_cell_angle_beta 90.00
_cell_angle_gamma 90.00
loop_
_atom_site_label
_atom_site_fract_x
_atom_site_fract_y
_atom_site_fract_z
Th1 0.0000 0.0000 0.0000
Zn1 0.0963 0.3493 0.5000
Ir1 0.1885 0.8115 0.5000
# formation enthalpy at 0 K: -0.481 eV per atom
# D(E_F): 4.81 states/eV/cell

# ThZn2Ir4, optimized geometry, DFT PBE
data_ThZn2Ir4
_chemical_formula_sum 'Th2 Zn4 Ir8'
_space_group_name_H-M_alt 'I m m m'
_space_group_IT_number 71
_space_group_name_Hall '-I 2 2'
_cell_length_a 5.2074
_cell_length_b 6.7023
_cell_length_c 6.7991
_cell_angle_alpha 90.00
_cell_angle_beta 90.00
_cell_angle_gamma 90.00
loop_
_atom_site_label
_atom_site_fract_x
_atom_site_fract_y
_atom_site_fract_z
Th1 0.0000 0.0000 0.0000
Zn1 0.2491 0.5000 0.0000
Ir1 0.0000 0.3027 0.3030
# formation enthalpy at 0 K: -0.292 eV per atom
# D(E_F): 14.74 states/eV/cell

# Th2Zn15Ir2, optimized geometry, DFT PBE
data_Th2Zn15Ir2
_chemical_formula_sum 'Th6 Zn45 Ir6'
_space_group_name_H-M_alt 'R -3 m'
_space_group_IT_number 166
_space_group_name_Hall '-R 3 2"'
_cell_length_a 9.0820
_cell_length_b 9.0820
_cell_length_c 13.1446
_cell_angle_alpha 90.00
_cell_angle_beta 90.00
_cell_angle_gamma 120.00
loop_
_atom_site_label
_atom_site_fract_x
_atom_site_fract_y
_atom_site_fract_z
Th1 0.0000 0.0000 0.1654
Zn1 0.0000 0.2781 0.5000
Zn2 0.0000 0.5000 0.0000
Zn3 0.0037 0.5018 0.6515
Ir1 0.0000 0.0000 0.3828
# formation enthalpy at 0 K: -0.267 eV per atom
# D(E_F): 29.44 states/eV/cell

# Th2Zn5Ir, optimized geometry, DFT PBE
data_Th2Zn5Ir
_chemical_formula_sum 'Th8 Zn20 Ir4'
_space_group_name_H-M_alt 'C m c m'
_space_group_IT_number 63
_space_group_name_Hall '-C 2c 2'
_cell_length_a 4.2282
_cell_length_b 16.5567
_cell_length_c 8.9979
_cell_angle_alpha 90.00
_cell_angle_beta 90.00
_cell_angle_gamma 90.00
loop_
_atom_site_label
_atom_site_fract_x
_atom_site_fract_y
_atom_site_fract_z
Th1 0.0000 0.0000 0.0000
Th2 0.0000 0.1892 0.2500
Zn1 0.0000 0.1907 0.6097
Zn2 0.0000 0.3494 0.5161
Zn3 0.0000 0.3993 0.2500
Ir1 0.0000 0.4452 0.7500
# formation enthalpy at 0 K: -0.405 eV per atom
# D(E_F): 19.09 states/eV/cell

# ThZn3Ir2, optimized geometry, DFT PBE
data_ThZn3Ir2
_chemical_formula_sum 'Th4 Zn12 Ir8'
_space_group_name_H-M_alt 'C 1 2/c 1'
_space_group_IT_number 15
_cell_length_a 6.6957
_cell_length_b 8.0945
_cell_length_c 8.8785
_cell_angle_alpha 90.00
_cell_angle_beta 111.83
_cell_angle_gamma 90.00
loop_
_space_group_symop_operation_xyz
'x,y,z'
'-x,-y,-z'
'-x,y,-z+1/2'
'x,-y,z+1/2'
'x+1/2,y+1/2,z'
'-x+1/2,-y+1/2,-z'
'-x+1/2,y+1/2,-z+1/2'
'x+1/2,-y+1/2,z+1/2'
loop_
_atom_site_label
_atom_site_fract_x
_atom_site_fract_y
_atom_site_fract_z
Th1 0.0000 0.0206 0.2500
Zn1 0.0000 0.3921 0.7500
Zn2 0.0826 0.3088 0.0372
Ir1 0.2292 0.3273 0.3480
# formation enthalpy at 0 K: -0.387 eV per atom
# D(E_F): 7.87 states/eV/cell

# ThZn4Ir2, optimized geometry, DFT PBE
data_ThZn4Ir2
_chemical_formula_sum 'Th2 Zn8 Ir4'
_space_group_name_H-M_alt 'C m m m'
_space_group_IT_number 65
_space_group_name_Hall '-C 2 2'
_cell_length_a 4.0107
_cell_length_b 15.5182
_cell_length_c 3.9964
_cell_angle_alpha 90.00
_cell_angle_beta 90.00
_cell_angle_gamma 90.00
loop_
_atom_site_label
_atom_site_fract_x
_atom_site_fract_y
_atom_site_fract_z
Th1 0.0000 0.0000 0.0000
Zn1 0.0000 0.1906 0.5000
Zn2 0.0000 0.3114 0.0000
Ir1 0.0000 0.4171 0.5000
# formation enthalpy at 0 K: -0.400 eV per atom
# D(E_F): 6.63 states/eV/cell

# ThZn2Ir2, optimized geometry, DFT PBE
data_ThZn2Ir2
_chemical_formula_sum 'Th1 Zn2 Ir2'
_space_group_name_H-M_alt 'P 4/m m m'
_space_group_IT_number 123
_space_group_name_Hall '-P 4 2'
_cell_length_a 3.9901
_cell_length_b 3.9901
_cell_length_c 5.9175
_cell_angle_alpha 90.00
_cell_angle_beta 90.00
_cell_angle_gamma 90.00
loop_
_atom_site_label
_atom_site_fract_x
_atom_site_fract_y
_atom_site_fract_z
Th1 0.0000 0.0000 0.0000
Zn1 0.0000 0.5000 0.5000
Ir1 0.5000 0.5000 0.2213
# formation enthalpy at 0 K: -0.582 eV per atom
# D(E_F): 2.67 states/eV/cell

# ThZrIr2, optimized geometry, DFT PBE
data_ThZrIr2
_chemical_formula_sum 'Th3 Zr3 Ir6'
_space_group_name_H-M_alt 'R -3 m'
_space_group_IT_number 166
_space_group_name_Hall '-R 3 2"'
_cell_length_a 4.0943
_cell_length_b 4.0943
_cell_length_c 18.4573
_cell_angle_alpha 90.00
_cell_angle_beta 90.00
_cell_angle_gamma 120.00
loop_
_atom_site_label
_atom_site_fract_x
_atom_site_fract_y
_atom_site_fract_z
Th1 0.0000 0.0000 0.0000
Zr1 0.0000 0.0000 0.5000
Ir1 0.0000 0.0000 0.2390
# formation enthalpy at 0 K: -0.737 eV per atom
# D(E_F): 6.14 states/eV/cell

# Th2ZrIr9, optimized geometry, DFT PBE
data_Th2ZrIr9
_chemical_formula_sum 'Th6 Zr3 Ir27'
_space_group_name_H-M_alt 'R -3 m'
_space_group_IT_number 166
_space_group_name_Hall '-R 3 2"'
_cell_length_a 5.3012
_cell_length_b 5.3012
_cell_length_c 26.8281
_cell_angle_alpha 90.00
_cell_angle_beta 90.00
_cell_angle_gamma 120.00
loop_
_atom_site_label
_atom_site_fract_x
_atom_site_fract_y
_atom_site_fract_z
Th1 0.0000 0.0000 0.1373
Zr1 0.0000 0.0000 0.0000
Ir1 0.0000 0.0000 0.3332
Ir2 0.0000 0.0000 0.5000
Ir3 0.0007 0.5003 0.9192
# formation enthalpy at 0 K: -0.552 eV per atom
# D(E_F): 28.67 states/eV/cell

# ThZrIr2, optimized geometry, DFT PBE
data_ThZrIr2
_chemical_formula_sum 'Th1 Zr1 Ir2'
_space_group_name_H-M_alt 'P 4/m m m'
_space_group_IT_number 123
_space_group_name_Hall '-P 4 2'
_cell_length_a 3.2872
_cell_length_b 3.2872
_cell_length_c 7.4934
_cell_angle_alpha 90.00
_cell_angle_beta 90.00
_cell_angle_gamma 90.00
loop_
_atom_site_label
_atom_site_fract_x
_atom_site_fract_y
_atom_site_fract_z
Th1 0.0000 0.0000 0.0000
Zr1 0.0000 0.0000 0.5000
Ir1 0.5000 0.5000 0.2873
# formation enthalpy at 0 K: -0.726 eV per atom
# D(E_F): 4.56 states/eV/cell

# ThZr2Ir9, optimized geometry, DFT PBE
data_ThZr2Ir9
_chemical_formula_sum 'Th3 Zr6 Ir27'
_space_group_name_H-M_alt 'R -3 m'
_space_group_IT_number 166
_space_group_name_Hall '-R 3 2"'
_cell_length_a 5.2791
_cell_length_b 5.2791
_cell_length_c 26.0570
_cell_angle_alpha 90.00
_cell_angle_beta 90.00
_cell_angle_gamma 120.00
loop_
_atom_site_label
_atom_site_fract_x
_atom_site_fract_y
_atom_site_fract_z
Th1 0.0000 0.0000 0.0000
Zr1 0.0000 0.0000 0.1401
Ir1 0.0000 0.0000 0.3342
Ir2 0.0000 0.0000 0.5000
Ir3 0.0031 0.5015 0.9151
# formation enthalpy at 0 K: -0.594 eV per atom
# D(E_F): 33.54 states/eV/cell

# TiIr, optimized geometry, DFT PBE
data_TiIr
_chemical_formula_sum 'Ti8 Ir8'
_space_group_name_H-M_alt 'P 4/m c c'
_space_group_IT_number 124
_space_group_name_Hall '-P 4 2c'
_cell_length_a 7.6766
_cell_length_b 7.6766
_cell_length_c 4.6418
_cell_angle_alpha 90.00
_cell_angle_beta 90.00
_cell_angle_gamma 90.00
loop_
_atom_site_label
_atom_site_fract_x
_atom_site_fract_y
_atom_site_fract_z
Ti1 0.0846 0.3040 0.0000
Ir1 0.2435 0.4031 0.5000
# formation enthalpy at 0 K: -0.368 eV per atom
# D(E_F): 12.24 states/eV/cell

# TiIr, optimized geometry, DFT PBE
data_TiIr
_chemical_formula_sum 'Ti4 Ir4'
_space_group_name_H-M_alt 'F m -3 m'
_space_group_IT_number 225
_space_group_name_Hall '-F 4 2 3'
_cell_length_a 5.1379
_cell_length_b 5.1379
_cell_length_c 5.1379
_cell_angle_alpha 90.00
_cell_angle_beta 90.00
_cell_angle_gamma 90.00
loop_
_atom_site_label
_atom_site_fract_x
_atom_site_fract_y
_atom_site_fract_z
Ti1 0.0000 0.0000 0.0000
Ir1 0.0000 0.0000 0.5000
# formation enthalpy at 0 K: -0.275 eV per atom
# D(E_F): 5.10 states/eV/cell

# TiIr4, optimized geometry, DFT PBE
data_TiIr4
_chemical_formula_sum 'Ti4 Ir16'
_space_group_name_H-M_alt 'I m m a'
_space_group_IT_number 74
_space_group_name_Hall '-I 2b 2'
_cell_length_a 4.0945
_cell_length_b 5.4387
_cell_length_c 13.3874
_cell_angle_alpha 90.00
_cell_angle_beta 90.00
_cell_angle_gamma 90.00
loop_
_atom_site_label
_atom_site_fract_x
_atom_site_fract_y
_atom_site_fract_z
Ti1 0.0000 0.2500 0.1036
Ir1 0.0000 0.0000 0.5000
Ir2 0.0000 0.0022 0.6946
Ir3 0.0000 0.2500 0.8981
# formation enthalpy at 0 K: -0.394 eV per atom
# D(E_F): 23.71 states/eV/cell

# Ti5Ir, optimized geometry, DFT PBE
data_Ti5Ir
_chemical_formula_sum 'Ti10 Ir2'
_space_group_name_H-M_alt 'C m m m'
_space_group_IT_number 65
_space_group_name_Hall '-C 2 2'
_cell_length_a 3.0611
_cell_length_b 13.8594
_cell_length_c 4.5563
_cell_angle_alpha 90.00
_cell_angle_beta 90.00
_cell_angle_gamma 90.00
loop_
_atom_site_label
_atom_site_fract_x
_atom_site_fract_y
_atom_site_fract_z
Ti1 0.0000 0.0000 0.0000
Ti2 0.0000 0.1613 0.5000
Ti3 0.0000 0.3325 0.0000
Ir1 0.0000 0.5000 0.5000
# formation enthalpy at 0 K: -0.314 eV per atom
# D(E_F): 19.94 states/eV/cell